# 1
# Nd2NiIr3 GGA-PBE optimized geometry
data_Nd2NiIr3
_cell_length_a 5.4612
_cell_length_b 5.4612
_cell_length_c 12.7659
_cell_angle_alpha 90.00
_cell_angle_beta 90.00
_cell_angle_gamma 120.00
_space_group_name_H-M_alt 'R -3 m'
_space_group_IT_number 166
_space_group_name_Hall '-R 3 2"'
loop_
_atom_site_label
_atom_site_fract_x
_atom_site_fract_y
_atom_site_fract_z
Nd1 0.0000 0.0000 0.1253
Ni1 0.0000 0.0000 0.5000
Ir1 0.0000 0.5000 0.0000
# - total moment (μB/f.u.) = 0.000
# - density of states at the Fermi level (states/eV/f.u.) = 3.69
# - electronic total energy (eV/atom) = -7.605


# 2
# CoSbMo2 GGA-PBE optimized geometry
data_CoSbMo2
_cell_length_a 3.700
_cell_length_b 4.603
_cell_length_c 7.616
_cell_angle_alpha 90.00
_cell_angle_beta 90.00
_cell_angle_gamma 90.00
_space_group_name_H-M_alt 'C m m 2'
_space_group_IT_number 35
loop_
_space_group_symop_operation_xyz
'x,y,z'
'-x,-y,z'
'-x,y,z'
'x,-y,z'
'x+1/2,y+1/2,z'
'-x+1/2,-y+1/2,z'
'-x+1/2,y+1/2,z'
'x+1/2,-y+1/2,z'
loop_
_atom_site_label
_atom_site_fract_x
_atom_site_fract_y
_atom_site_fract_z
Co1 0.000 0.000 0.000
Sb1 0.000 0.500 0.246
Mo1 0.000 0.000 0.537
Mo2 0.000 0.500 0.793
# - E_form (uncorrected) (eV per atom) = 0.38
# - total moment (μB/f.u.) = 0.000
# - density of states at the Fermi level (states/eV/f.u.) = 2.33


# 3
# PrSc2Cu GGA-PBE optimized geometry
data_PrSc2Cu
_cell_length_a 3.359
_cell_length_b 3.359
_cell_length_c 8.318
_cell_angle_alpha 90.00
_cell_angle_beta 90.00
_cell_angle_gamma 90.00
_space_group_name_H-M_alt 'P 4/m m m'
_space_group_IT_number 123
_space_group_name_Hall '-P 4 2'
loop_
_atom_site_label
_atom_site_fract_x
_atom_site_fract_y
_atom_site_fract_z
Pr1 0.000 0.000 0.000
Sc1 0.500 0.500 0.314
Cu1 0.000 0.000 0.500
# - total moment (μB/f.u.) = 0.000
# - density of states at the Fermi level (states/eV/f.u.) = 4.94
# - offset from the most stable computed form (meV/atom) = 0


# 4
# TmFe2Cl8 GGA-PBE optimized geometry
data_TmFe2Cl8
_cell_length_a 13.708
_cell_length_b 8.431
_cell_length_c 6.270
_cell_angle_alpha 90.00
_cell_angle_beta 92.37
_cell_angle_gamma 90.00
_space_group_name_H-M_alt 'C 1 2/m 1'
_space_group_IT_number 12
loop_
_space_group_symop_operation_xyz
'x,y,z'
'-x,-y,-z'
'-x,y,-z'
'x,-y,z'
'x+1/2,y+1/2,z'
'-x+1/2,-y+1/2,-z'
'-x+1/2,y+1/2,-z'
'x+1/2,-y+1/2,z'
loop_
_atom_site_label
_atom_site_fract_x
_atom_site_fract_y
_atom_site_fract_z
Tm1 0.000 0.000 0.000
Fe1 0.174 0.000 0.624
Cl1 0.087 0.208 0.764
Cl2 0.157 0.000 0.260
Cl3 0.175 0.500 0.270
# - E_form (uncorrected) (eV per atom) = -1.28
# - total moment (μB/f.u.) = 9.000
# - density of states at the Fermi level (states/eV/f.u.) = 5.06


# 5
# Ni6PdRh2 GGA-PBE optimized geometry
data_Ni6PdRh2
_cell_length_a 11.041
_cell_length_b 6.925
_cell_length_c 8.019
_cell_angle_alpha 90.00
_cell_angle_beta 131.17
_cell_angle_gamma 90.00
_space_group_name_H-M_alt 'C 1 2/c 1'
_space_group_IT_number 15
loop_
_space_group_symop_operation_xyz
'x,y,z'
'-x,-y,-z'
'-x,y,-z+1/2'
'x,-y,z+1/2'
'x+1/2,y+1/2,z'
'-x+1/2,-y+1/2,-z'
'-x+1/2,y+1/2,-z+1/2'
'x+1/2,-y+1/2,z+1/2'
loop_
_atom_site_label
_atom_site_fract_x
_atom_site_fract_y
_atom_site_fract_z
Ni1 0.083 0.017 0.198
Ni2 0.217 0.225 0.628
Ni3 0.243 0.404 0.915
Pd1 0.000 0.354 0.250
Rh1 0.038 0.319 0.955
# - total moment (μB/f.u.) = 6.298
# - density of states at the Fermi level (states/eV/f.u.) = 14.17
# - electronic total energy (eV/atom) = -5.858


# 6
# TbZr2Zn2 GGA-PBE optimized geometry
data_TbZr2Zn2
_cell_length_a 3.365
_cell_length_b 4.930
_cell_length_c 12.859
_cell_angle_alpha 90.00
_cell_angle_beta 97.50
_cell_angle_gamma 90.00
_space_group_name_H-M_alt 'P 1 21/m 1'
_space_group_IT_number 11
loop_
_space_group_symop_operation_xyz
'x,y,z'
'-x,-y,-z'
'-x,y+1/2,-z'
'x,-y+1/2,z'
loop_
_atom_site_label
_atom_site_fract_x
_atom_site_fract_y
_atom_site_fract_z
Tb1 0.147 0.250 0.294
Zr1 0.045 0.750 0.090
Zr2 0.234 0.750 0.467
Zn1 0.364 0.250 0.729
Zn2 0.452 0.750 0.905
# - total moment (μB/f.u.) = 0.000
# - density of states at the Fermi level (states/eV/f.u.) = 3.51
# - electronic total energy (eV/atom) = -5.063


# 7
# Ba2CuRe GGA-PBE optimized geometry
data_Ba2CuRe
_cell_length_a 7.817
_cell_length_b 7.817
_cell_length_c 7.817
_cell_angle_alpha 90.00
_cell_angle_beta 90.00
_cell_angle_gamma 90.00
_space_group_name_H-M_alt 'F m -3 m'
_space_group_IT_number 225
_space_group_name_Hall '-F 4 2 3'
loop_
_atom_site_label
_atom_site_fract_x
_atom_site_fract_y
_atom_site_fract_z
Ba1 0.250 0.250 0.250
Cu1 0.000 0.000 0.000
Re1 0.000 0.000 0.500
# - total moment (μB/f.u.) = 2.093
# - density of states at the Fermi level (states/eV/f.u.) = 3.61
# - offset from the most stable computed form (meV/atom) = 326


# 8
# Cs2Cd5In3 GGA-PBE optimized geometry
data_Cs2Cd5In3
_cell_length_a 5.323
_cell_length_b 5.323
_cell_length_c 11.784
_cell_angle_alpha 90.00
_cell_angle_beta 90.00
_cell_angle_gamma 90.00
_space_group_name_H-M_alt 'P -4 m 2'
_space_group_IT_number 115
loop_
_space_group_symop_operation_xyz
'x,y,z'
'y,-x,-z'
'-x,-y,z'
'-y,x,-z'
'-x,y,z'
'-y,-x,-z'
'x,-y,z'
'y,x,-z'
loop_
_atom_site_label
_atom_site_fract_x
_atom_site_fract_y
_atom_site_fract_z
Cs1 0.000 0.500 0.246
Cd1 0.000 0.000 0.000
Cd2 0.000 0.000 0.500
Cd3 0.000 0.500 0.884
Cd4 0.500 0.500 0.000
In1 0.000 0.500 0.630
In2 0.500 0.500 0.500
# - total moment (μB/f.u.) = 0.000
# - density of states at the Fermi level (states/eV/f.u.) = 6.12
# - electronic total energy (eV/atom) = -1.508


# 9
# Sr6Sn3I GGA-PBE optimized geometry
data_Sr6Sn3I
_cell_length_a 12.484
_cell_length_b 16.599
_cell_length_c 8.437
_cell_angle_alpha 90.00
_cell_angle_beta 90.00
_cell_angle_gamma 90.00
_space_group_name_H-M_alt 'C m c 21'
_space_group_IT_number 36
loop_
_space_group_symop_operation_xyz
'x,y,z'
'-x,-y,z+1/2'
'-x,y,z'
'x,-y,z+1/2'
'x+1/2,y+1/2,z'
'-x+1/2,-y+1/2,z+1/2'
'-x+1/2,y+1/2,z'
'x+1/2,-y+1/2,z+1/2'
loop_
_atom_site_label
_atom_site_fract_x
_atom_site_fract_y
_atom_site_fract_z
Sr1 0.000 0.002 0.000
Sr2 0.000 0.241 0.389
Sr3 0.167 0.478 0.447
Sr4 0.172 0.274 0.989
Sn1 0.000 0.402 0.165
Sn2 0.174 0.110 0.237
I1 0.000 0.168 0.753
# - E_form (uncorrected) (eV per atom) = -0.68
# - total moment (μB/f.u.) = 0.829
# - density of states at the Fermi level (states/eV/f.u.) = 4.92


# 10
# Y2HoB6 GGA-PBE optimized geometry
data_Y2HoB6
_cell_length_a 5.6949
_cell_length_b 5.6949
_cell_length_c 3.8697
_cell_angle_alpha 90.00
_cell_angle_beta 90.00
_cell_angle_gamma 120.00
_space_group_name_H-M_alt 'P 6/m m m'
_space_group_IT_number 191
_space_group_name_Hall '-P 6 2'
loop_
_atom_site_label
_atom_site_fract_x
_atom_site_fract_y
_atom_site_fract_z
Y1 0.3333 0.6667 0.0000
Ho1 0.0000 0.0000 0.0000
B1 0.0000 0.3324 0.5000
# - total moment (μB/f.u.) = 0.000
# - density of states at the Fermi level (states/eV/f.u.) = 2.50
# - electronic total energy (eV/atom) = -6.973


# 11
# ReP3 GGA-PBE optimized geometry
data_ReP3
_cell_length_a 3.303
_cell_length_b 4.548
_cell_length_c 4.072
_cell_angle_alpha 90.00
_cell_angle_beta 100.81
_cell_angle_gamma 90.00
_space_group_name_H-M_alt 'P 1 2/m 1'
_space_group_IT_number 10
loop_
_space_group_symop_operation_xyz
'x,y,z'
'-x,-y,-z'
'-x,y,-z'
'x,-y,z'
loop_
_atom_site_label
_atom_site_fract_x
_atom_site_fract_y
_atom_site_fract_z
Re1 0.000 0.000 0.000
P1 0.212 0.500 0.811
P2 0.500 0.000 0.500
# - total moment (μB/f.u.) = 0.000
# - density of states at the Fermi level (states/eV/f.u.) = 1.48
# - offset from the most stable computed form (meV/atom) = 583


# 12
# Li13Ga3 GGA-PBE optimized geometry
data_Li13Ga3
_cell_length_a 6.323
_cell_length_b 9.441
_cell_length_c 9.386
_cell_angle_alpha 90.00
_cell_angle_beta 90.00
_cell_angle_gamma 90.00
_space_group_name_H-M_alt 'A m m 2'
_space_group_IT_number 38
loop_
_space_group_symop_operation_xyz
'x,y,z'
'-x,-y,z'
'-x,y,z'
'x,-y,z'
'x,y+1/2,z+1/2'
'-x,-y+1/2,z+1/2'
'-x,y+1/2,z+1/2'
'x,-y+1/2,z+1/2'
loop_
_atom_site_label
_atom_site_fract_x
_atom_site_fract_y
_atom_site_fract_z
Li1 0.000 0.000 0.000
Li2 0.000 0.000 0.467
Li3 0.000 0.232 0.234
Li4 0.259 0.000 0.742
Li5 0.261 0.242 0.984
Li6 0.500 0.000 0.468
Li7 0.500 0.236 0.234
Ga1 0.260 0.000 0.231
Ga2 0.500 0.000 0.988
# - total moment (μB/f.u.) = 0.000
# - density of states at the Fermi level (states/eV/f.u.) = 5.21
# - offset from the most stable computed form (meV/atom) = 11


Which value of total moment does entry 11 give?
0.000 μB/f.u.


total moment of number 4 (TmFe2Cl8)?
9.000 μB/f.u.


Number 9 is which compound?
Sr6Sn3I


Among the records above, which one has the highest density of states at the Fermi level?
Ni6PdRh2